(1)
NdVSeO2 | GGA+U | relaxed

Cell lengths 6.576, 6.576, 5.326 Å; angles 90.00, 90.00, 131.96 degrees
Positions (direct):
Nd: 0.115 0.885 0.750
Nd: 0.885 0.115 0.250
V: 0.432 0.568 0.750
V: 0.568 0.432 0.250
Se: 0.247 0.753 0.250
Se: 0.753 0.247 0.750
O: 0.267 0.267 0.000
O: 0.267 0.267 0.500
O: 0.733 0.733 0.000
O: 0.733 0.733 0.500

Summary:
V = 171 Å³ per cell
E_tot = -7.271 eV/atom
SG = Cmcm

---

(2)
Nd7VSe8O4 | GGA+U | relaxed

Cell lengths 14.477, 15.882, 4.050 Å; angles 90.00, 90.00, 90.00 degrees
Positions (direct):
Nd: 0.000 0.000 0.000
Nd: 0.007 0.312 0.500
Nd: 0.210 0.381 0.000
Nd: 0.219 0.164 0.500
Nd: 0.281 0.664 0.500
Nd: 0.290 0.881 0.000
Nd: 0.493 0.812 0.500
Nd: 0.500 0.500 0.000
Nd: 0.507 0.188 0.500
Nd: 0.710 0.119 0.000
Nd: 0.719 0.336 0.500
Nd: 0.781 0.836 0.500
Nd: 0.790 0.619 0.000
Nd: 0.993 0.688 0.500
V: 0.000 0.500 0.000
V: 0.500 0.000 0.000
Se: 0.069 0.173 0.000
Se: 0.119 0.532 0.500
Se: 0.146 0.973 0.500
Se: 0.156 0.735 0.000
Se: 0.344 0.235 0.000
Se: 0.354 0.473 0.500
Se: 0.381 0.032 0.500
Se: 0.431 0.673 0.000
Se: 0.569 0.327 0.000
Se: 0.619 0.968 0.500
Se: 0.646 0.527 0.500
Se: 0.656 0.765 0.000
Se: 0.844 0.265 0.000
Se: 0.854 0.027 0.500
Se: 0.881 0.468 0.500
Se: 0.931 0.827 0.000
O: 0.046 0.382 0.000
O: 0.173 0.312 0.500
O: 0.327 0.812 0.500
O: 0.454 0.882 0.000
O: 0.546 0.118 0.000
O: 0.673 0.188 0.500
O: 0.827 0.688 0.500
O: 0.954 0.618 0.000

Summary:
V = 931 Å³ per cell
E_tot = -6.708 eV/atom
SG = Pbam